Material: CdCuIr4
Method: DFT, PBE-GGA
State: optimized geometry

a b c (Å): 7.3625 7.3625 7.3625
angles (deg): 90.00 90.00 90.00
Space group F-43m (No. 216)
One atom of each set of equivalent atoms:
1 Cd 0.0000 0.0000 0.0000 [4 per cell]
2 Cu 0.2500 0.2500 0.7500 [4 per cell]
3 Ir 0.1249 0.1249 0.3751 [16 per cell]

Results
- Energy relative to the elements: 0.4425 eV/atom
- Density: 15.72 g cm⁻³

Material: CdCu4Ir
Method: DFT, PBE-GGA
State: optimized geometry

a b c (Å): 6.8850 6.8850 6.8850
angles (deg): 90.00 90.00 90.00
Space group F-43m (No. 216)
One atom of each set of equivalent atoms:
1 Cd 0.0000 0.0000 0.0000 [4 per cell]
2 Cu 0.1246 0.1246 0.6246 [16 per cell]
3 Ir 0.2500 0.2500 0.2500 [4 per cell]

Results
- Energy relative to the elements: 0.1182 eV/atom
- Density: 11.37 g cm⁻³

Material: Cd2CuIr
Method: DFT, PBE-GGA
State: optimized geometry

a b c (Å): 4.1634 4.1634 7.7298
angles (deg): 90.00 90.00 90.00
Space group I4/mmm (No. 139)
One atom of each set of equivalent atoms:
1 Cd 0.0000 0.5000 0.2500 [4 per cell]
2 Cu 0.0000 0.0000 0.0000 [2 per cell]
3 Ir 0.0000 0.0000 0.5000 [2 per cell]

Results
- Energy relative to the elements: 0.1341 eV/atom
- Density: 11.91 g cm⁻³

Material: Cd2CuIr
Method: DFT, PBE-GGA
State: optimized geometry

a b c (Å): 5.7813 7.5847 3.0636
angles (deg): 90.00 90.19 90.00
Space group C2/m (No. 12)
One atom of each set of equivalent atoms:
1 Cd 0.2500 0.2500 0.0000 [4 per cell]
2 Cu 0.0000 0.0000 0.5000 [2 per cell]
3 Ir 0.0000 0.5000 0.5000 [2 per cell]

Results
- Energy relative to the elements: 0.1173 eV/atom
- Density: 11.88 g cm⁻³

Material: Cd2CuIr
Method: DFT, PBE-GGA
State: optimized geometry

a b c (Å): 3.0526 3.0526 7.3341
angles (deg): 90.00 90.00 90.00
Space group P4mm (No. 99)
One atom of each set of equivalent atoms:
1 Cd 0.0000 0.0000 0.0000 [1 per cell]
2 Cd 0.5000 0.5000 0.3208 [1 per cell]
3 Cu 0.0000 0.0000 0.5529 [1 per cell]
4 Ir 0.5000 0.5000 0.7464 [1 per cell]

Results
- Energy relative to the elements: 0.1532 eV/atom
- Density: 11.68 g cm⁻³

Material: Cd2CuIr
Method: DFT, PBE-GGA
State: optimized geometry

a b c (Å): 6.4493 6.4493 6.4493
angles (deg): 90.00 90.00 90.00
Space group F-43m (No. 216)
One atom of each set of equivalent atoms:
1 Cd 0.0000 0.0000 0.0000 [4 per cell]
2 Cd 0.2500 0.2500 0.2500 [4 per cell]
3 Cu 0.0000 0.0000 0.5000 [4 per cell]
4 Ir 0.2500 0.2500 0.7500 [4 per cell]

Results
- Energy relative to the elements: 0.1999 eV/atom
- Density: 11.90 g cm⁻³